# PBE-GGA Y2PAuF, optimized geometry
data_Y2PAuF
_space_group_name_H-M_alt 'P 4/m m m'
_space_group_IT_number 123
_space_group_name_Hall '-P 4 2'
_cell_length_a 5.400
_cell_length_b 5.400
_cell_length_c 4.018
_cell_angle_alpha 90.00
_cell_angle_beta 90.00
_cell_angle_gamma 90.00
loop_
_atom_site_label
_atom_site_fract_x
_atom_site_fract_y
_atom_site_fract_z
_atom_site_occupancy
Y1 0.000 0.500 0.000 1
P1 0.000 0.000 0.000 1
Au1 0.500 0.500 0.500 1
F1 0.000 0.000 0.500 1
# Formation energy (no corrections) ... -889.1 meV/atom
# Crystal system ... tetragonal